A plane-wave DFT calculation with GGA-PBE was carried out for a relaxed structure of LiSc2AgN.

Lattice parameters (Å, degrees): 4.399 4.399 4.147 90.00 90.00 90.00
Space group P4/mmm (No. 123)
One atom of each set of equivalent atoms:
1 Li 0.000 0.000 0.000 (multiplicity 1)
2 Sc 0.000 0.500 0.500 (multiplicity 2)
3 Ag 0.500 0.500 0.000 (multiplicity 1)
4 N 0.000 0.000 0.500 (multiplicity 1)

Summary:
V ... 80 Å³ per cell
Total magnetic moment ... 0.000 μB/atom
ΔE_f (raw) ... -737.8 meV per atom
DOS(E_F) ... 0.873 states/eV/atom
Total energy ... -5.889 eV/atom